CaYTl: optimized geometry, GGA-PBEsol.

Cell and atoms, written as extended XYZ:
```
3
Lattice="-2.829 0.591 -2.246 -3.115 -2.732 3.205 0.553 5.166 0.662" Properties=species:S:1:pos:R:3 pbc="T T T"
Y -3.044 0.141 1.443
Tl -2.467 2.909 0.083
Ca -2.709 0.566 -2.150
```

space-group type	P3m1, No. 156
total energy	-4.0858	eV/atom
M_tot	0.00	Bohr magnetons per cell
energy relative to the elements	-224	meV/atom
ΔE to the lowest computed polymorph	0.57	eV per formula unit

---

BaNa2GaHg: optimized geometry, GGA-PBEsol.

Cell and atoms, written as extended XYZ:
```
5
Lattice="5.192 0.000 0.000 0.000 5.574 0.000 0.000 0.000 5.574" Properties=species:S:1:pos:R:3 pbc="T T T"
Na 0.000 0.000 2.787
Na 0.000 2.787 0.000
Hg 2.596 0.000 0.000
Ga 0.000 0.000 0.000
Ba 2.596 2.787 2.787
```

space-group type	P4/mmm, No. 123
total energy	-1.8152	eV/atom
M_tot	0.00	Bohr magnetons per cell
energy relative to the elements	-44	meV/atom